Crystalline Li6Pm2O7 at its relaxed geometry. Source: the Open Quantum Materials Database, functional PBE.

Output
Total magnetization = 0.1334 μB per atom
Calculated total energy = -86.85 eV for the cell shown

Unit cell a=5.622 b=5.640 c=6.231 alpha=68.74 beta=85.44 gamma=79.53
Space group P-1 (No. 2)
Symmetry-distinct sites (fractional):
Li: 0.050 0.213 0.419
Li: 0.381 0.629 0.315
Li: 0.401 0.745 0.831
Pm: 0.142 0.258 0.916
O: 0.073 0.979 0.743
O: 0.238 0.454 0.159
O: 0.286 0.583 0.622
O: 0.500 0.000 0.000